(1)
The following is a GGA-PBE calculation of crystalline HgTe2Os at its relaxed geometry, from Alexandria.

Output
Electronic total energy, eV/atom: -3.504
E_form (uncorrected), meV per atom: 950
ρ, kg/m3: 12183
Symmetry: P4/mmm (123)
N(E_F), states/eV/f.u.: 6.40
Magnetization, μB/f.u.: 0.20
Volume, Å³/cell: 88.1

a = 5.132 Å, b = 5.132 Å, c = 3.343 Å
α = 90.00°, β = 90.00°, γ = 90.00°
Element x y z (fractional)
Hg (0.500, 0.000, 0.500)
Os (0.000, 0.500, 0.500)
Te (0.000, 0.000, 0.000)
Te (0.500, 0.500, 0.000)

(2)
The following is a GGA-PBE calculation of crystalline HgTeOs2 at its relaxed geometry, from Alexandria.

Output
Electronic total energy, eV/atom: -5.228
E_form (uncorrected), meV per atom: 1248
ρ, kg/m3: 16038
Symmetry: Pmmm (47)
Energy above the most stable polymorph in this dataset, eV/atom: 0.7276
N(E_F), states/eV/f.u.: 4.98
Magnetization, μB/f.u.: 0.00
Volume, Å³/cell: 73.4

a = 3.035 Å, b = 5.139 Å, c = 4.704 Å
α = 90.00°, β = 90.00°, γ = 90.00°
Element x y z (fractional)
Hg (0.000, 0.500, 0.500)
Os (0.000, 0.000, 0.000)
Os (0.500, 0.500, 0.000)
Te (0.500, 0.000, 0.500)

(3)
The following is a GGA-PBE calculation of crystalline HgTeOs2 at its relaxed geometry, from Alexandria.

Output
Electronic total energy, eV/atom: -5.277
E_form (uncorrected), meV per atom: 1199
ρ, kg/m3: 16136
Symmetry: Cmmm (65)
Energy above the most stable polymorph in this dataset, eV/atom: 0.6785
N(E_F), states/eV/f.u.: 4.01
Magnetization, μB/f.u.: 0.00
Volume, Å³/cell: 72.9

a = 2.966 Å, b = 2.966 Å, c = 9.557 Å
α = 90.00°, β = 90.00°, γ = 119.82°
Element x y z (fractional)
Hg (0.500, 0.500, 0.750)
Os (0.000, 0.000, 0.004)
Os (0.000, 0.000, 0.496)
Te (0.500, 0.500, 0.250)

(4)
The following is a GGA-PBE calculation of crystalline HgTe2Os at its relaxed geometry, from Alexandria.

Output
Electronic total energy, eV/atom: -3.421
E_form (uncorrected), meV per atom: 1032
ρ, kg/m3: 12144
Symmetry: Pmmm (47)
N(E_F), states/eV/f.u.: 2.51
Magnetization, μB/f.u.: 0.00
Volume, Å³/cell: 88.3

a = 3.633 Å, b = 4.935 Å, c = 4.926 Å
α = 90.00°, β = 90.00°, γ = 90.00°
Element x y z (fractional)
Hg (0.500, 0.000, 0.500)
Os (0.000, 0.500, 0.500)
Te (0.000, 0.000, 0.000)
Te (0.500, 0.500, 0.000)

(5)
The following is a GGA-PBE calculation of crystalline HgTeOs2 at its relaxed geometry, from Alexandria.

Output
Electronic total energy, eV/atom: -5.644
E_form (uncorrected), meV per atom: 832
ρ, kg/m3: 15208
Symmetry: Cm (8)
Energy above the most stable polymorph in this dataset, eV/atom: 0.3113
N(E_F), states/eV/f.u.: 1.76
Magnetization, μB/f.u.: 0.00
Volume, Å³/cell: 77.4

a = 5.623 Å, b = 5.623 Å, c = 5.637 Å
α = 58.60°, β = 58.60°, γ = 31.07°
Element x y z (fractional)
Hg (0.280, 0.280, 0.258)
Os (0.035, 0.035, 0.840)
Os (0.723, 0.723, 0.867)
Te (0.462, 0.462, 0.534)

(6)
The following is a GGA-PBE calculation of crystalline HgTe2Os at its relaxed geometry, from Alexandria.

Output
Electronic total energy, eV/atom: -3.834
E_form (uncorrected), meV per atom: 619
ρ, kg/m3: 10386
Symmetry: R-3m (166)
N(E_F), states/eV/f.u.: 2.62
Magnetization, μB/f.u.: 0.00
Volume, Å³/cell: 103.3

a = 12.325 Å, b = 12.325 Å, c = 12.325 Å
α = 14.58°, β = 14.58°, γ = 14.58°
Element x y z (fractional)
Te (0.930, 0.930, 0.930)
Te (0.070, 0.070, 0.070)
Os (0.000, 0.000, 0.000)
Hg (0.500, 0.500, 0.500)

(7)
The following is a GGA-PBE calculation of crystalline HgTeOs2 at its relaxed geometry, from Alexandria.

Output
Electronic total energy, eV/atom: -5.374
E_form (uncorrected), meV per atom: 1102
ρ, kg/m3: 16663
Symmetry: P4/mmm (123)
Energy above the most stable polymorph in this dataset, eV/atom: 0.5817
N(E_F), states/eV/f.u.: 5.23
Magnetization, μB/f.u.: 0.00
Volume, Å³/cell: 70.6

a = 4.628 Å, b = 4.628 Å, c = 3.297 Å
α = 90.00°, β = 90.00°, γ = 90.01°
Element x y z (fractional)
Hg (0.000, 0.500, 0.500)
Os (0.000, 0.000, 0.000)
Os (0.500, 0.500, 0.000)
Te (0.500, 0.000, 0.500)

(8)
The following is a GGA-PBE calculation of crystalline HgTeOs2 at its relaxed geometry, from Alexandria.

Output
Electronic total energy, eV/atom: -5.955
E_form (uncorrected), meV per atom: 520
ρ, kg/m3: 14303
Symmetry: Pm (6)
Energy above the most stable polymorph in this dataset, eV/atom: 0.0000
N(E_F), states/eV/f.u.: 2.84
Magnetization, μB/f.u.: 0.00
Volume, Å³/cell: 82.3

a = 3.556 Å, b = 2.851 Å, c = 8.604 Å
α = 70.55°, β = 90.00°, γ = 90.00°
Element x y z (fractional)
Hg (0.500, 0.827, 0.800)
Os (0.000, 0.078, 0.047)
Os (0.500, 0.428, 0.197)
Te (0.000, 0.167, 0.457)